Material: BaLa2Cr
Method: DFT, PBE
State: optimized geometry

The value obtained for the density of states at the Fermi level is 5.962 states/eV/f.u. Its energy above the most stable polymorph in this dataset is 0.2157 eV per atom. As for the total energy: -4.82 eV/atom.

The structure belongs to space group P4/mmm (No. 123); the cell edges are 5.108, 5.108 and 5.362 Å and the angles 90.00°, 90.00° and 90.00°. The distinct sites, in fractional coordinates, are Ba at (0.000, 0.000, 0.000), La at (0.000, 0.500, 0.500) and Cr at (0.500, 0.500, 0.000).